1.
Y4CuN3 (PBE-GGA, relaxed); V = 16.51 Å³ per atom; SG = P6_3/mmc; E_tot = -128.8 eV for the cell shown
1.0
3.483 0.000 0.000
-1.741 3.016 0.000
0.000 0.000 25.141
Y Cu N
8 2 6
direct
0.000 0.000 0.165
0.000 0.000 0.335
0.000 0.000 0.665
0.000 0.000 0.835
0.333 0.667 0.055
0.333 0.667 0.445
0.667 0.333 0.555
0.667 0.333 0.945
0.333 0.667 0.250
0.667 0.333 0.750
0.000 0.000 0.000
0.000 0.000 0.500
0.333 0.667 0.614
0.333 0.667 0.886
0.667 0.333 0.114
0.667 0.333 0.386

***

2.
Y2CuN (PBE-GGA, relaxed); V = 18.62 Å³ per atom; SG = C2/c; E_tot = -168.0 eV for the cell shown
1.0
5.189 -2.987 0.000
5.189 2.987 0.000
-3.496 0.000 14.421
Y Cu N
12 6 6
direct
0.035 0.873 0.606
0.127 0.965 0.894
0.197 0.360 0.091
0.300 0.473 0.409
0.360 0.197 0.591
0.473 0.300 0.909
0.527 0.700 0.091
0.640 0.803 0.409
0.700 0.527 0.591
0.803 0.640 0.909
0.873 0.035 0.106
0.965 0.127 0.394
0.082 0.383 0.750
0.383 0.082 0.250
0.430 0.570 0.250
0.570 0.430 0.750
0.617 0.918 0.750
0.918 0.617 0.250
0.000 0.500 0.500
0.162 0.675 0.000
0.325 0.838 0.500
0.500 0.000 0.000
0.675 0.162 0.500
0.838 0.325 0.000

***

3.
Zr4CuN3 (PBE-GGA, relaxed); V = 13.88 Å³ per atom; SG = P6_3/mmc; E_tot = -145.6 eV for the cell shown
1.0
3.261 0.000 0.000
-1.630 2.824 0.000
0.000 0.000 24.114
Zr Cu N
8 2 6
direct
0.000 0.000 0.164
0.000 0.000 0.336
0.000 0.000 0.664
0.000 0.000 0.836
0.333 0.667 0.056
0.333 0.667 0.444
0.667 0.333 0.556
0.667 0.333 0.944
0.333 0.667 0.250
0.667 0.333 0.750
0.000 0.000 0.000
0.000 0.000 0.500
0.333 0.667 0.611
0.333 0.667 0.889
0.667 0.333 0.111
0.667 0.333 0.389

***

4.
Zr4CuN2 (PBE-GGA, relaxed); V = 15.46 Å³ per atom; SG = Cmcm; E_tot = -124.4 eV for the cell shown
1.0
1.664 -5.557 0.000
1.664 5.557 0.000
0.000 0.000 11.703
Zr Cu N
8 2 4
direct
0.000 0.000 0.000
0.000 0.000 0.500
0.262 0.738 0.607
0.262 0.738 0.893
0.428 0.572 0.250
0.572 0.428 0.750
0.738 0.262 0.107
0.738 0.262 0.393
0.116 0.884 0.250
0.884 0.116 0.750
0.367 0.633 0.062
0.367 0.633 0.438
0.633 0.367 0.562
0.633 0.367 0.938

***

5.
Zr2CuN (PBE-GGA, relaxed); V = 15.52 Å³ per atom; SG = C2/c; E_tot = -194.1 eV for the cell shown
1.0
4.847 -2.795 0.000
4.847 2.795 0.000
-3.375 0.000 13.746
Zr Cu N
12 6 6
direct
0.038 0.875 0.609
0.125 0.962 0.891
0.196 0.360 0.088
0.299 0.474 0.412
0.360 0.196 0.588
0.474 0.299 0.912
0.526 0.701 0.088
0.640 0.804 0.412
0.701 0.526 0.588
0.804 0.640 0.912
0.875 0.038 0.109
0.962 0.125 0.391
0.085 0.393 0.750
0.393 0.085 0.250
0.431 0.569 0.250
0.569 0.431 0.750
0.607 0.915 0.750
0.915 0.607 0.250
0.000 0.500 0.500
0.161 0.677 0.000
0.323 0.839 0.500
0.500 0.000 0.000
0.677 0.161 0.500
0.839 0.323 0.000

***

6.
Zr2CuN (PBE-GGA, relaxed); V = 15.67 Å³ per atom; SG = P6_3/mmc; E_tot = -64.6 eV for the cell shown
1.0
3.269 0.000 0.000
-1.635 2.831 0.000
0.000 0.000 13.543
Zr Cu N
4 2 2
direct
0.333 0.667 0.095
0.333 0.667 0.405
0.667 0.333 0.595
0.667 0.333 0.905
0.333 0.667 0.750
0.667 0.333 0.250
0.000 0.000 0.000
0.000 0.000 0.500

***

7.
NaCu (PBE-GGA, relaxed); V = 32.15 Å³ per atom; SG = F-43m; E_tot = -3.5 eV for the cell shown
1.0
0.000 3.180 3.180
3.180 0.000 3.180
3.180 3.180 0.000
Na Cu
1 1
direct
0.000 0.000 0.000
0.250 0.250 0.250

***

8.
Na2Cu (PBE-GGA, relaxed); V = 26.89 Å³ per atom; SG = Fm-3m; E_tot = -5.4 eV for the cell shown
1.0
0.000 3.430 3.430
3.430 0.000 3.430
3.430 3.430 0.000
Na Cu
2 1
direct
0.250 0.250 0.250
0.750 0.750 0.750
0.000 0.000 0.000

***

9.
NaCu (PBE-GGA, relaxed); V = 17.29 Å³ per atom; SG = P-6m2; E_tot = -4.3 eV for the cell shown
1.0
2.842 0.000 0.000
-1.421 2.461 0.000
0.000 0.000 4.943
Na Cu
1 1
direct
0.000 0.000 0.000
0.333 0.667 0.500

***

10.
Na2Cu (PBE-GGA, relaxed); V = 21.10 Å³ per atom; SG = Fd-3m; E_tot = -9.4 eV for the cell shown
1.0
0.000 3.985 3.985
3.985 0.000 3.985
3.985 3.985 0.000
Na Cu
4 2
direct
0.000 0.000 0.000
0.000 0.000 0.500
0.000 0.500 0.000
0.500 0.000 0.000
0.375 0.375 0.375
0.625 0.625 0.625

***

11.
NaCu5 (PBE-GGA, relaxed); V = 14.50 Å³ per atom; SG = P6/mmm; E_tot = -19.4 eV for the cell shown
1.0
5.013 0.000 0.000
-2.506 4.341 0.000
0.000 0.000 3.997
Na Cu
1 5
direct
0.000 0.000 0.000
0.000 0.500 0.500
0.333 0.667 0.000
0.500 0.000 0.500
0.500 0.500 0.500
0.667 0.333 0.000

***

12.
Na2Cu (PBE-GGA, relaxed); V = 74.40 Å³ per atom; SG = Fd-3m; E_tot = -8.1 eV for the cell shown
1.0
0.000 6.066 6.066
6.066 0.000 6.066
6.066 6.066 0.000
Na Cu
4 2
direct
0.000 0.000 0.000
0.000 0.000 0.500
0.000 0.500 0.000
0.500 0.000 0.000
0.125 0.125 0.125
0.875 0.875 0.875